# Mn5In3O12

Mn5In3O12 after structural relaxation (PBE with a Hubbard U, Alexandria via LeMat-Bulk).

Cell: 5.1992 5.4061 7.9221 Å, 89.88 88.58 89.72°
Closest atoms and distances in Å follow each position.
Fractional positions:
Mn (0.0000, 0.0000, 0.0000)  4 O 1.97-2.01
Mn (0.0034, 0.9987, 0.5071)  6 O 1.96-2.04
Mn (0.0194, 0.4472, 0.7632)  4 O 2.13-2.21
Mn (0.4959, 0.4987, 0.0018)  6 O 1.96-2.05
Mn (0.5004, 0.4992, 0.5094)  4 O 1.96-2.01
In (0.4797, 0.9414, 0.7468)  5 O 2.16-2.35
In (0.5231, 0.0594, 0.2640)  5 O 2.16-2.34
In (0.9739, 0.5582, 0.2440)  5 O 2.15-2.33
O (0.1289, 0.9359, 0.2715)  1 Mn 1.99, 2 In 2.16-2.21
O (0.1888, 0.6934, 0.9450)  3 Mn 1.97-2.17
O (0.1998, 0.7009, 0.5872)  3 Mn 1.99-2.16
O (0.3040, 0.1940, 0.9277)  2 Mn 1.97-2.02, 1 In 2.16
O (0.3143, 0.1915, 0.5590)  2 Mn 1.96-1.98, 1 In 2.20
O (0.3687, 0.4382, 0.2381)  1 Mn 2.00, 2 In 2.15-2.21
O (0.6273, 0.5630, 0.7720)  2 Mn 1.96-2.13, 1 In 2.19
O (0.6987, 0.7989, 0.0832)  2 Mn 2.01-2.05, 1 In 2.19
O (0.6996, 0.7962, 0.4424)  2 Mn 1.98-2.00, 1 In 2.22
O (0.7987, 0.2964, 0.0682)  2 Mn 1.98-1.99, 1 In 2.20
O (0.8008, 0.2970, 0.4244)  2 Mn 2.01-2.04, 1 In 2.19
O (0.8736, 0.0661, 0.7374)  1 Mn 1.96, 1 In 2.16

Values from the calculation:
- Symmetry: P1
- E above lowest polymorph: 0.00 eV/f.u.